A relaxed Na2Ho2MoO6 crystal. Source: Alexandria via LeMat-Bulk, functional GGA+U.

```
11
Lattice="5.748 0.013 0.112 -2.830 5.003 0.112 -0.991 -1.703 5.571" Properties=species:S:1:pos:R:3 pbc="T T T"
Na 4.434 0.777 0.112
Na -1.516 4.239 0.112
O 3.358 2.661 1.890
O 1.487 2.556 4.077
O 1.274 -0.921 3.905
O 0.441 0.757 1.718
O 0.653 4.234 1.890
O -1.431 0.653 3.905
Mo -0.495 -0.851 2.785
Ho 2.360 0.844 2.897
Ho -0.432 2.469 2.897
```

size of the total moment	2.00	Bohr magnetons per cell
DOS(E_F)	0.00	states/eV per atom
uncorrected energy	-6.92	eV per atom
symmetry	No. 12